First-principles (GGA-PBE) data for an optimized crystal structure of Tb3NiSn3Pd2, as listed in the Open Quantum Materials Database.

## Properties
ρ in g cm⁻³: 9.5
Electronic total energy in eV per cell: -49.68

a = 7.528 Å, b = 7.528 Å, c = 3.937 Å
α = 90.00°, β = 90.00°, γ = 120.00°
Positions (direct):
Tb 0.000 0.596 0.000
Tb 0.404 0.404 0.000
Tb 0.596 0.000 0.000
Sn 0.752 0.752 0.500
Sn 0.248 0.000 0.500
Sn 0.000 0.248 0.500
Ni 0.000 0.000 0.000
Pd 0.333 0.667 0.500
Pd 0.667 0.333 0.500

---

First-principles (GGA-PBE) data for an optimized crystal structure of TcNiSnPd, as listed in the Open Quantum Materials Database.

## Properties
ρ in g cm⁻³: 10.2
Polymorph energy (0 for the lowest one) in eV/atom: 0.0000

a = 4.445 Å, b = 4.445 Å, c = 4.445 Å
α = 60.00°, β = 60.00°, γ = 60.00°
Positions (direct):
Ni 0.750 0.750 0.750
Sn 0.000 0.000 0.000
Tc 0.250 0.250 0.250
Pd 0.500 0.500 0.500

---

First-principles (GGA-PBE) data for an optimized crystal structure of Tm3NiSn3Pd2, as listed in the Open Quantum Materials Database.

## Properties
ρ in g cm⁻³: 10.1
Electronic total energy in eV per cell: -49.15

a = 7.499 Å, b = 7.499 Å, c = 3.837 Å
α = 90.00°, β = 90.00°, γ = 120.00°
Positions (direct):
Sn 0.000 0.252 0.500
Sn 0.748 0.748 0.500
Sn 0.252 0.000 0.500
Tm 0.000 0.598 0.000
Tm 0.402 0.402 0.000
Tm 0.598 0.000 0.000
Pd 0.667 0.333 0.500
Pd 0.333 0.667 0.500
Ni 0.000 0.000 0.000

---

First-principles (GGA-PBE) data for an optimized crystal structure of NiSnPdW, as listed in the Open Quantum Materials Database.

## Properties
ρ in g cm⁻³: 12.3
Electronic total energy in eV per cell: -26.70

a = 4.467 Å, b = 4.467 Å, c = 4.467 Å
α = 60.00°, β = 60.00°, γ = 60.00°
Positions (direct):
Sn 0.000 0.000 0.000
Pd 0.250 0.250 0.250
Ni 0.750 0.750 0.750
W 0.500 0.500 0.500

---

First-principles (GGA-PBE) data for an optimized crystal structure of ZrNiSnPd, as listed in the Open Quantum Materials Database.

## Properties
ρ in g cm⁻³: 9.1
Electronic total energy in eV per cell: -25.66

a = 4.597 Å, b = 4.597 Å, c = 4.597 Å
α = 60.00°, β = 60.00°, γ = 60.00°
Positions (direct):
Zr 0.500 0.500 0.500
Pd 0.250 0.250 0.250
Ni 0.750 0.750 0.750
Sn 0.000 0.000 0.000

---

First-principles (GGA-PBE) data for an optimized crystal structure of Sr2NiPd, as listed in the Open Quantum Materials Database.

## Properties
ρ in g cm⁻³: 6.2
Electronic total energy in eV per cell: -13.71

a = 5.055 Å, b = 5.055 Å, c = 5.055 Å
α = 60.00°, β = 60.00°, γ = 60.00°
Positions (direct):
Sr 0.250 0.250 0.250
Sr 0.000 0.000 0.000
Ni 0.750 0.750 0.750
Pd 0.500 0.500 0.500

---

First-principles (GGA-PBE) data for an optimized crystal structure of SrNiPd2, as listed in the Open Quantum Materials Database.

## Properties
ρ in g cm⁻³: 8.2
Electronic total energy in eV per cell: -17.75

a = 4.687 Å, b = 4.687 Å, c = 4.687 Å
α = 60.00°, β = 60.00°, γ = 60.00°
Positions (direct):
Pd 0.000 0.000 0.000
Pd 0.750 0.750 0.750
Sr 0.500 0.500 0.500
Ni 0.250 0.250 0.250

---

First-principles (GGA-PBE) data for an optimized crystal structure of Sr2Tl4NiPd, as listed in the Open Quantum Materials Database.

## Properties
ρ in g cm⁻³: 9.3
Electronic total energy in eV per cell: -25.98

a = 8.192 Å, b = 6.059 Å, c = 6.059 Å
α = 43.30°, β = 90.00°, γ = 90.00°
Positions (direct):
Ni 0.000 0.221 0.221
Tl 0.192 0.649 0.649
Tl 0.808 0.649 0.649
Tl 0.293 0.350 0.350
Tl 0.707 0.350 0.350
Pd 0.500 0.779 0.779
Sr 0.500 0.062 0.062
Sr 0.000 0.940 0.940

---

First-principles (GGA-PBE) data for an optimized crystal structure of TaTlNiPd, as listed in the Open Quantum Materials Database.

## Properties
ρ in g cm⁻³: 13.8
Polymorph energy (0 for the lowest one) in eV/atom: 0.0000

a = 4.539 Å, b = 4.539 Å, c = 4.539 Å
α = 60.00°, β = 60.00°, γ = 60.00°
Positions (direct):
Pd 0.250 0.250 0.250
Ta 0.500 0.500 0.500
Tl 0.000 0.000 0.000
Ni 0.750 0.750 0.750

---

First-principles (GGA-PBE) data for an optimized crystal structure of TaTlNiPd, as listed in the Open Quantum Materials Database.

## Properties
ρ in g cm⁻³: 13.7
Polymorph energy (0 for the lowest one) in eV/atom: 0.1778

a = 4.552 Å, b = 4.552 Å, c = 4.552 Å
α = 60.00°, β = 60.00°, γ = 60.00°
Positions (direct):
Ta 0.250 0.250 0.250
Pd 0.500 0.500 0.500
Tl 0.000 0.000 0.000
Ni 0.750 0.750 0.750

---

First-principles (GGA-PBE) data for an optimized crystal structure of TbNiPd, as listed in the Open Quantum Materials Database.

## Properties
ρ in g cm⁻³: 9.1
ΔE_f in eV per atom: -0.4039

a = 4.377 Å, b = 4.377 Å, c = 4.377 Å
α = 60.00°, β = 60.00°, γ = 60.00°
Positions (direct):
Tb 0.750 0.750 0.750
Ni 0.000 0.000 0.000
Pd 0.250 0.250 0.250

---

First-principles (GGA-PBE) data for an optimized crystal structure of TcNiPd2, as listed in the Open Quantum Materials Database.

## Properties
ρ in g cm⁻³: 10.8
ΔE_f in eV per atom: 0.2520

a = 4.314 Å, b = 4.314 Å, c = 4.314 Å
α = 60.00°, β = 60.00°, γ = 60.00°
Each line ends with the local moment (μB).
Positions (direct):
Pd 0.750 0.750 0.750  0.01
Pd 0.500 0.500 0.500  0.05
Ni 0.000 0.000 0.000  0.37
Tc 0.250 0.250 0.250  0.27